## NbNi3O (PBE+U)

Data for a geometry-optimized NbNi3O structure.

```
5
Lattice="3.9830 0.0000 0.0000 0.0000 3.9830 0.0000 0.0000 0.0000 3.9830" Properties=species:S:1:pos:R:3 pbc="T T T"
Nb 0.0000 0.0000 0.0000
Ni 0.0000 1.9915 1.9915
Ni 1.9915 0.0000 1.9915
Ni 1.9915 1.9915 0.0000
O 1.9915 1.9915 1.9915
```

Values from the calculation:
The density of states at the Fermi level comes out at 3.48 states/eV per cell. Its theoretical density is 7.49 g/cm³. The calculation puts the energy above the lowest structure with this stoichiometry at 0.000 eV per atom. Its space-group type is Pm-3m, No. 221. As for the uncorrected energy: -4.044 eV per atom.